Record 1
# Sm12Cu6Pt PBE-GGA optimized geometry
data_Sm12Cu6Pt
_chemical_formula_sum 'Sm36 Cu18 Pt3'
_symmetry_space_group_name_H-M 'R -3'
_symmetry_Int_Tables_number 148
_symmetry_space_group_name_Hall '-R 3'
_cell_length_a 12.6110
_cell_length_b 12.6110
_cell_length_c 12.0842
_cell_angle_alpha 90.00
_cell_angle_beta 90.00
_cell_angle_gamma 120.00
loop_
_atom_site_label
_atom_site_type_symbol
_atom_site_fract_x
_atom_site_fract_y
_atom_site_fract_z
_atom_site_occupancy
Sm1 Sm 0.0251 0.8235 0.3897 1
Sm2 Sm 0.0339 0.8309 0.8779 1
Cu1 Cu 0.0433 0.7758 0.6458 1
Pt1 Pt 0.0000 0.0000 0.0000 1
# - final energy (eV per atom) = -4.6387
# - energy relative to the elements (meV/atom) = -47

---

Record 2
# Na2BO PBE-GGA optimized geometry
data_Na2BO
_chemical_formula_sum 'Na8 B4 O4'
_symmetry_space_group_name_H-M 'I -4 2 d'
_symmetry_Int_Tables_number 122
_symmetry_space_group_name_Hall 'I -4 2bw'
_cell_length_a 9.999
_cell_length_b 9.999
_cell_length_c 2.891
_cell_angle_alpha 90.00
_cell_angle_beta 90.00
_cell_angle_gamma 90.00
loop_
_atom_site_label
_atom_site_type_symbol
_atom_site_fract_x
_atom_site_fract_y
_atom_site_fract_z
_atom_site_occupancy
Na1 Na 0.079 0.250 0.125 1
B1 B 0.000 0.000 0.500 1
O1 O 0.000 0.000 0.000 1
# - energy relative to the elements, uncorrected (eV per atom) = -0.07
# - final energy (eV per atom) = -3.6356
# - polymorph energy (0 for the lowest one) (meV/atom) = 0

---

Record 3
# Nb3InH PBE-GGA optimized geometry
data_Nb3InH
_chemical_formula_sum 'Nb12 In4 H4'
_symmetry_space_group_name_H-M 'C m c m'
_symmetry_Int_Tables_number 63
_symmetry_space_group_name_Hall '-C 2c 2'
_cell_length_a 5.205
_cell_length_b 14.836
_cell_length_c 5.345
_cell_angle_alpha 90.00
_cell_angle_beta 90.00
_cell_angle_gamma 90.00
loop_
_atom_site_label
_atom_site_type_symbol
_atom_site_fract_x
_atom_site_fract_y
_atom_site_fract_z
_atom_site_occupancy
Nb1 Nb 0.000 0.000 0.000 1
Nb2 Nb 0.246 0.153 0.250 1
In1 In 0.000 0.171 0.750 1
H1 H 0.000 0.448 0.750 1
# - final energy (eV per atom) = -6.5099

---

Record 4
# Sm2Zn3Ni2 PBE-GGA optimized geometry
data_Sm2Zn3Ni2
_chemical_formula_sum 'Sm4 Zn6 Ni4'
_symmetry_space_group_name_H-M 'C 1 2/m 1'
_symmetry_Int_Tables_number 12
_cell_length_a 9.699
_cell_length_b 4.318
_cell_length_c 6.381
_cell_angle_alpha 90.00
_cell_angle_beta 105.90
_cell_angle_gamma 90.00
loop_
_symmetry_equiv_pos_as_xyz
'x,y,z'
'-x,-y,-z'
'-x,y,-z'
'x,-y,z'
'x+1/2,y+1/2,z'
'-x+1/2,-y+1/2,-z'
'-x+1/2,y+1/2,-z'
'x+1/2,-y+1/2,z'
loop_
_atom_site_label
_atom_site_type_symbol
_atom_site_fract_x
_atom_site_fract_y
_atom_site_fract_z
_atom_site_occupancy
Sm1 Sm 0.118 0.000 0.349 1
Zn1 Zn 0.000 0.500 0.000 1
Zn2 Zn 0.212 0.000 0.878 1
Ni1 Ni 0.094 0.500 0.679 1
# - final energy (eV per atom) = -3.8863
# - energy relative to the elements (meV/atom) = -340

---

Record 5
# PrNp2TaO8 PBE-GGA optimized geometry
data_PrNp2TaO8
_chemical_formula_sum 'Pr2 Np4 Ta2 O16'
_symmetry_space_group_name_H-M 'C m m m'
_symmetry_Int_Tables_number 65
_symmetry_space_group_name_Hall '-C 2 2'
_cell_length_a 7.184
_cell_length_b 7.247
_cell_length_c 6.952
_cell_angle_alpha 90.00
_cell_angle_beta 90.00
_cell_angle_gamma 90.00
loop_
_atom_site_label
_atom_site_type_symbol
_atom_site_fract_x
_atom_site_fract_y
_atom_site_fract_z
_atom_site_occupancy
Pr1 Pr 0.000 0.000 0.000 1
Np1 Np 0.000 0.500 0.259 1
Ta1 Ta 0.000 0.000 0.500 1
O1 O 0.000 0.284 0.500 1
O2 O 0.000 0.324 0.000 1
O3 O 0.189 0.000 0.287 1
# - energy relative to the elements, uncorrected (eV per atom) = -3.01
# - final energy (eV per atom) = -9.8570

---

Record 6
# ZrTaTiCu PBE-GGA optimized geometry
data_ZrTaTiCu
_chemical_formula_sum 'Zr4 Ta4 Ti4 Cu4'
_symmetry_space_group_name_H-M 'F -4 3 m'
_symmetry_Int_Tables_number 216
_symmetry_space_group_name_Hall 'F -4 2 3'
_cell_length_a 6.532
_cell_length_b 6.532
_cell_length_c 6.532
_cell_angle_alpha 90.00
_cell_angle_beta 90.00
_cell_angle_gamma 90.00
loop_
_atom_site_label
_atom_site_type_symbol
_atom_site_fract_x
_atom_site_fract_y
_atom_site_fract_z
_atom_site_occupancy
Zr1 Zr 0.000 0.000 0.000 1
Ta1 Ta 0.250 0.250 0.250 1
Ti1 Ti 0.000 0.000 0.500 1
Cu1 Cu 0.250 0.250 0.750 1
# - final energy (eV per atom) = -7.9782
# - energy relative to the elements (meV/atom) = 120

---

Record 7
# BeCr2Br PBE-GGA optimized geometry
data_BeCr2Br
_chemical_formula_sum 'Be2 Cr4 Br2'
_symmetry_space_group_name_H-M 'C 1 m 1'
_symmetry_Int_Tables_number 8
_cell_length_a 6.765
_cell_length_b 3.734
_cell_length_c 6.056
_cell_angle_alpha 90.00
_cell_angle_beta 102.94
_cell_angle_gamma 90.00
loop_
_symmetry_equiv_pos_as_xyz
'x,y,z'
'x,-y,z'
'x+1/2,y+1/2,z'
'x+1/2,-y+1/2,z'
loop_
_atom_site_label
_atom_site_type_symbol
_atom_site_fract_x
_atom_site_fract_y
_atom_site_fract_z
_atom_site_occupancy
Be1 Be 0.000 0.000 0.000 1
Cr1 Cr 0.194 0.500 0.124 1
Cr2 Cr 0.305 0.000 0.883 1
Br1 Br 0.218 0.000 0.450 1
# - energy relative to the elements, uncorrected (eV per atom) = 0.39
# - final energy (eV per atom) = -5.7731
# - polymorph energy (0 for the lowest one) (meV/atom) = 10

---

Record 8
# Tl4Sb2Pb5 PBE-GGA optimized geometry
data_Tl4Sb2Pb5
_chemical_formula_sum 'Tl12 Sb6 Pb15'
_symmetry_space_group_name_H-M 'R -3 m'
_symmetry_Int_Tables_number 166
_symmetry_space_group_name_Hall '-R 3 2"'
_cell_length_a 3.5139
_cell_length_b 3.5139
_cell_length_c 95.8320
_cell_angle_alpha 90.00
_cell_angle_beta 90.00
_cell_angle_gamma 120.00
loop_
_atom_site_label
_atom_site_type_symbol
_atom_site_fract_x
_atom_site_fract_y
_atom_site_fract_z
_atom_site_occupancy
Tl1 Tl 0.0000 0.0000 0.0876 1
Tl2 Tl 0.0000 0.0000 0.1822 1
Sb1 Sb 0.0000 0.0000 0.3625 1
Pb1 Pb 0.0000 0.0000 0.0000 1
Pb2 Pb 0.0000 0.0000 0.1214 1
Pb3 Pb 0.0000 0.0000 0.2758 1
# - energy relative to the elements, uncorrected (eV per atom) = 0.07
# - final energy (eV per atom) = -3.2216
# - polymorph energy (0 for the lowest one) (meV/atom) = 46